This record from Alexandria describes crystalline LiTa2NbCu at its relaxed geometry. The functional is PBE-GGA.

Summary:
**Energy relative to the elements**: 1.310 eV/atom
**Symmetry**: P4/mmm (123)
**Volume**: 20.72 Å³/atom

a b c (Å): 4.6832 4.7229 4.6832
angles (deg): 90.00 90.00 90.00
With the nearest neighbours (Å) after each atom.
Element x y z (fractional)
Nb: 0.0000 0.5000 0.0000  2 Cu 2.36
Li: 0.5000 0.5000 0.5000  4 Nb 3.31, 8 Ta 3.33
Cu: 0.0000 0.0000 0.0000  4 Ta 2.34, 2 Nb 2.36
Ta: 0.0000 0.0000 0.5000  2 Cu 2.34
Ta: 0.5000 0.0000 0.0000  2 Cu 2.34

=====

This record from Alexandria describes crystalline LiNbCu2Tc at its relaxed geometry. The functional is PBE-GGA.

Summary:
**Energy relative to the elements**: 1.420 eV/atom
**Symmetry**: P4/mmm (123)
**Volume**: 17.28 Å³/atom

a b c (Å): 4.5102 4.2466 4.5102
angles (deg): 90.00 90.00 90.00
With the nearest neighbours (Å) after each atom.
Element x y z (fractional)
Nb: 0.5000 0.5000 0.5000  8 Cu 3.10, 4 Li 3.19
Tc: 0.0000 0.0000 0.0000  2 Li 2.12, 4 Cu 2.26
Cu: 0.0000 0.0000 0.5000  2 Tc 2.26
Cu: 0.5000 0.0000 0.0000  2 Tc 2.26
Li: 0.0000 0.5000 0.0000  2 Tc 2.12

=====

Question: volume of number 2 (LiNbCu2Tc)?
Answer: 17.28 Å³/atom

=====

Question: Which of these has the highest volume?
Answer: LiTa2NbCu